Entry from Alexandria via LeMat-Bulk: AcGe2Pb after structural relaxation (PBE-GGA).

Structure (extended XYZ):
```
12
Lattice="5.272 0.000 0.000 -2.636 4.566 0.000 0.000 0.000 21.115" Properties=species:S:1:pos:R:3 pbc="T T T"
Ac 0.000 0.000 0.000
Ac 0.000 3.044 14.077
Ac 2.636 1.522 7.038
Ge 0.000 0.000 7.938
Ge 0.000 0.000 13.177
Ge 0.000 3.044 0.900
Ge 0.000 3.044 6.138
Ge 2.636 1.522 14.976
Ge 2.636 1.522 20.215
Pb 0.000 0.000 10.557
Pb 0.000 3.044 3.519
Pb 2.636 1.522 17.596
```

Summary:
The calculation puts the energy above the most stable polymorph in this dataset at 2.39 eV per formula unit. For the electronic total energy, the calculation gives -4.02 eV per atom. The calculated formation energy is 245.4 meV per atom. As for the magnetic moment: 0.00 μB per formula unit.